1.
# BeOs2S | the Alexandria database | PBE | relaxed
# **Calculated volume**: 11.98 Å³ per atom
# **VASP energy**: -0.531 Ry per atom
# **Energy above the most stable polymorph in this dataset**: 0 meV/atom
# **ΔE_f (raw)**: 0.353 eV/atom
# **Magnetization**: 0.0 Bohr magnetons per cell
data_BeOs2S
_cell_length_a 4.077
_cell_length_b 4.077
_cell_length_c 4.077
_cell_angle_alpha 60.00
_cell_angle_beta 60.00
_cell_angle_gamma 60.00
_symmetry_space_group_name_H-M 'P 1'
_symmetry_Int_Tables_number 1
loop_
_symmetry_equiv_pos_as_xyz
'x,y,z'
loop_
_atom_site_label
_atom_site_fract_x
_atom_site_fract_y
_atom_site_fract_z
Be1 0.000 0.000 0.000
S1 0.500 0.500 0.500
Os1 0.250 0.250 0.250
Os2 0.750 0.750 0.750


2.
# BeOsS3 | the Alexandria database | PBE | relaxed
# **Calculated volume**: 19.62 Å³ per atom
# **VASP energy**: -0.333 Ry per atom
# **Energy above the most stable polymorph in this dataset**: 16 meV/atom
# **ΔE_f (raw)**: 0.942 eV/atom
# **Magnetization**: 0.0 Bohr magnetons per cell
data_BeOsS3
_cell_length_a 4.612
_cell_length_b 4.612
_cell_length_c 4.612
_cell_angle_alpha 90.00
_cell_angle_beta 90.00
_cell_angle_gamma 90.00
_symmetry_space_group_name_H-M 'P 1'
_symmetry_Int_Tables_number 1
loop_
_symmetry_equiv_pos_as_xyz
'x,y,z'
loop_
_atom_site_label
_atom_site_fract_x
_atom_site_fract_y
_atom_site_fract_z
Be1 0.500 0.500 0.500
S1 0.000 0.500 0.000
S2 0.000 0.000 0.500
S3 0.500 0.000 0.000
Os1 0.000 0.000 0.000


Which formula does entry 2 have? BeOsS3


Please write out number 1 again, unchanged.
# BeOs2S | the Alexandria database | PBE | relaxed
# **Calculated volume**: 11.98 Å³ per atom
# **VASP energy**: -0.531 Ry per atom
# **Energy above the most stable polymorph in this dataset**: 0 meV/atom
# **ΔE_f (raw)**: 0.353 eV/atom
# **Magnetization**: 0.0 Bohr magnetons per cell
data_BeOs2S
_cell_length_a 4.077
_cell_length_b 4.077
_cell_length_c 4.077
_cell_angle_alpha 60.00
_cell_angle_beta 60.00
_cell_angle_gamma 60.00
_symmetry_space_group_name_H-M 'P 1'
_symmetry_Int_Tables_number 1
loop_
_symmetry_equiv_pos_as_xyz
'x,y,z'
loop_
_atom_site_label
_atom_site_fract_x
_atom_site_fract_y
_atom_site_fract_z
Be1 0.000 0.000 0.000
S1 0.500 0.500 0.500
Os1 0.250 0.250 0.250
Os2 0.750 0.750 0.750


magnetization of number 1 (BeOs2S)? 0.0 Bohr magnetons per cell


Among the records above, which one has the highest ΔE_f (raw)? BeOsS3